The following is a PBE calculation of a geometry-optimized Rb5CdAu4 structure, from the Alexandria database.

The structure in POSCAR format:
```
Rb5CdAu4
1.0
-2.2269 1.9454 -3.7610
1.6516 -7.1713 -4.6873
-8.4607 -1.3918 7.3327
Au Cd Rb
4 1 5
Direct
0.6208 0.2992 0.2417
0.0339 0.2256 0.0678
0.3792 0.7008 0.7583
0.9661 0.7744 0.9322
0.5000 0.0000 0.0000
0.8058 0.4044 0.6116
0.1379 0.0260 0.2758
0.5000 0.5000 0.0000
0.1942 0.5956 0.3884
0.8621 0.9740 0.7242
```

Computed properties:
**Calculated density**: 5.2 Mg/m³
**Space group**: C2/m, No. 12
**Relative energy among the computed polymorphs**: 0.20 eV per formula unit
**V**: 42.206 Å³ per atom